# CaInBr4

CaInBr4 after structural relaxation (PBEsol, Alexandria).

Computed properties:
* formation energy (no corrections): -0.31 eV per atom
* theoretical density: 4.4 g/cm³
* final energy: -2.41 eV/atom
* DOS at the Fermi energy: 5.44 states/eV per cell
* crystal system: cubic

Lattice parameters (Å, degrees): 6.3342 6.3342 6.3342 60.00 60.00 60.00
Element x y z (fractional)
Br 0.3754 0.3754 0.3754
Br 0.3754 0.3754 0.8737
Br 0.8737 0.3754 0.3754
Br 0.3754 0.8737 0.3754
Ca 0.7500 0.7500 0.7500
In 0.0000 0.0000 0.0000

***

# CaIrBr2

CaIrBr2 after structural relaxation (PBEsol, Alexandria).

Computed properties:
* energy above the most stable polymorph in this dataset: 290 meV per atom
* formation energy (no corrections): -0.25 eV per atom
* theoretical density: 7.3 g/cm³
* final energy: -4.18 eV/atom
* DOS at the Fermi energy: 3.57 states/eV per cell
* crystal system: tetragonal

Lattice parameters (Å, degrees): 3.7939 3.7939 6.1722 90.00 90.00 90.00
Element x y z (fractional)
Ca 0.0000 0.0000 0.4941
Ir 0.5000 0.5000 0.7341
Br 0.0000 0.0000 0.9395
Br 0.5000 0.5000 0.3323

***

# CaIrBr2

CaIrBr2 after structural relaxation (PBEsol, Alexandria).

Computed properties:
* energy above the most stable polymorph in this dataset: 569 meV per atom
* formation energy (no corrections): 0.03 eV per atom
* theoretical density: 7.2 g/cm³
* final energy: -3.90 eV/atom
* DOS at the Fermi energy: 2.64 states/eV per cell
* crystal system: orthorhombic

Lattice parameters (Å, degrees): 3.7849 3.7849 6.8344 90.00 90.00 112.74
Element x y z (fractional)
Ca 0.5000 0.5000 0.5000
Ir 0.5000 0.5000 0.0000
Br 0.0000 0.0000 0.2276
Br 0.0000 0.0000 0.7724

***

# CaIrBr2

CaIrBr2 after structural relaxation (PBEsol, Alexandria).

Computed properties:
* energy above the most stable polymorph in this dataset: 0 meV per atom
* formation energy (no corrections): -0.54 eV per atom
* theoretical density: 6.4 g/cm³
* final energy: -4.47 eV/atom
* DOS at the Fermi energy: 1.24 states/eV per cell
* crystal system: orthorhombic

Lattice parameters (Å, degrees): 3.7735 4.1112 6.9079 107.32 90.00 90.00
Element x y z (fractional)
Ca 0.0000 0.4619 0.5487
Ir 0.5000 0.0361 0.6970
Br 0.0000 0.1526 0.9301
Br 0.5000 0.8494 0.3241

***

# CaIrBr2

CaIrBr2 after structural relaxation (PBEsol, Alexandria).

Computed properties:
* energy above the most stable polymorph in this dataset: 303 meV per atom
* formation energy (no corrections): -0.24 eV per atom
* theoretical density: 6.9 g/cm³
* final energy: -4.16 eV/atom
* DOS at the Fermi energy: 4.31 states/eV per cell
* crystal system: orthorhombic

Lattice parameters (Å, degrees): 4.8183 4.8183 5.2514 115.61 115.61 93.32
Element x y z (fractional)
Ca 0.5000 0.5000 0.0000
Ir 0.0000 0.0000 0.0000
Br 0.5000 0.0000 0.5000
Br 0.0000 0.5000 0.5000

***

# CaIrSeBr2

CaIrSeBr2 after structural relaxation (PBEsol, Alexandria).

Computed properties:
* formation energy (no corrections): -0.10 eV per atom
* theoretical density: 5.8 g/cm³
* final energy: -4.01 eV/atom
* DOS at the Fermi energy: 5.33 states/eV per cell
* crystal system: tetragonal

Lattice parameters (Å, degrees): 4.7726 4.7726 5.9393 90.00 90.00 90.00
Element x y z (fractional)
Ca 0.0000 0.0000 0.5000
Ir 0.0000 0.0000 0.0000
Se 0.5000 0.5000 0.5000
Br 0.0000 0.5000 0.0000
Br 0.5000 0.0000 0.0000

***

# KCaBr3

KCaBr3 after structural relaxation (PBEsol, Alexandria).

Computed properties:
* formation energy (no corrections): -1.92 eV per atom
* theoretical density: 3.3 g/cm³
* final energy: -3.70 eV/atom
* DOS at the Fermi energy: 0.00 states/eV per cell
* crystal system: orthorhombic

Lattice parameters (Å, degrees): 7.5249 7.9545 10.8240 90.00 90.00 90.00
Element x y z (fractional)
K 0.0279 0.4202 0.2500
K 0.9721 0.5798 0.7500
K 0.5279 0.0798 0.7500
K 0.4721 0.9202 0.2500
Ca 0.0000 0.0000 0.0000
Ca 0.5000 0.5000 0.0000
Ca 0.0000 0.0000 0.5000
Ca 0.5000 0.5000 0.5000
Br 0.3081 0.1974 0.0570
Br 0.6919 0.8026 0.9430
Br 0.8081 0.3026 0.9430
Br 0.6919 0.8026 0.5570
Br 0.1919 0.6974 0.0570
Br 0.3081 0.1974 0.4430
Br 0.1919 0.6974 0.4430
Br 0.8081 0.3026 0.5570
Br 0.6128 0.5316 0.2500
Br 0.3872 0.4684 0.7500
Br 0.1128 0.9684 0.7500
Br 0.8872 0.0316 0.2500

***

# KCa2Br

KCa2Br after structural relaxation (PBEsol, Alexandria).

Computed properties:
* energy above the most stable polymorph in this dataset: 0 meV per atom
* formation energy (no corrections): -0.67 eV per atom
* theoretical density: 2.2 g/cm³
* final energy: -2.49 eV/atom
* DOS at the Fermi energy: 2.67 states/eV per cell
* crystal system: orthorhombic

Lattice parameters (Å, degrees): 3.8748 3.8748 11.0136 90.00 90.00 112.26
Element x y z (fractional)
Br 0.5000 0.5000 0.2311
Ca 0.0000 0.0000 0.0434
Ca 0.5000 0.5000 0.7732
K 0.0000 0.0000 0.4522

***

# KCaBr3

KCaBr3 after structural relaxation (PBEsol, Alexandria).

Computed properties:
* formation energy (no corrections): -1.93 eV per atom
* theoretical density: 3.4 g/cm³
* final energy: -3.70 eV/atom
* DOS at the Fermi energy: 0.00 states/eV per cell
* crystal system: orthorhombic

Lattice parameters (Å, degrees): 4.2071 7.2837 10.6673 90.00 90.00 106.79
Element x y z (fractional)
Ca 0.0000 0.0000 0.5000
Ca 0.0000 0.0000 0.0000
K 0.2528 0.5057 0.2500
K 0.7472 0.4943 0.7500
Br 0.3644 0.7287 0.5552
Br 0.6356 0.2713 0.0552
Br 0.3644 0.7287 0.9448
Br 0.6356 0.2713 0.4448
Br 0.9291 0.8582 0.2500
Br 0.0709 0.1418 0.7500

***

# KCa2Br

KCa2Br after structural relaxation (PBEsol, Alexandria).

Computed properties:
* energy above the most stable polymorph in this dataset: 56 meV per atom
* formation energy (no corrections): -0.62 eV per atom
* theoretical density: 2.2 g/cm³
* final energy: -2.43 eV/atom
* DOS at the Fermi energy: 2.32 states/eV per cell
* crystal system: orthorhombic

Lattice parameters (Å, degrees): 3.8062 6.3066 7.3393 115.45 105.03 90.00
Element x y z (fractional)
Br 0.0000 0.5000 0.0000
Ca 0.6974 0.6974 0.3948
Ca 0.3026 0.3026 0.6052
K 0.5000 0.0000 0.0000

***

# Ca2LaBr

Ca2LaBr after structural relaxation (PBEsol, Alexandria).

Computed properties:
* energy above the most stable polymorph in this dataset: 166 meV per atom
* formation energy (no corrections): -0.54 eV per atom
* theoretical density: 3.8 g/cm³
* final energy: -3.41 eV/atom
* DOS at the Fermi energy: 4.96 states/eV per cell
* crystal system: tetragonal

Lattice parameters (Å, degrees): 3.6185 3.6185 10.0352 90.00 90.00 90.00
Element x y z (fractional)
Ca 0.0000 0.0000 0.9574
Ca 0.5000 0.5000 0.2492
Br 0.5000 0.5000 0.7472
La 0.0000 0.0000 0.5462

***

# Ca2LaBr

Ca2LaBr after structural relaxation (PBEsol, Alexandria).

Computed properties:
* energy above the most stable polymorph in this dataset: 0 meV per atom
* formation energy (no corrections): -0.70 eV per atom
* theoretical density: 3.8 g/cm³
* final energy: -3.57 eV/atom
* DOS at the Fermi energy: 2.76 states/eV per cell
* crystal system: trigonal

Lattice parameters (Å, degrees): 3.7791 3.7791 10.6890 79.82 79.82 60.00
Element x y z (fractional)
Ca 0.2630 0.2630 0.2110
Ca 0.7370 0.7370 0.7890
Br 0.0000 0.0000 0.0000
La 0.5000 0.5000 0.5000

***

# CaLa3Br

CaLa3Br after structural relaxation (PBEsol, Alexandria).

Computed properties:
* formation energy (no corrections): 0.62 eV per atom
* theoretical density: 4.6 g/cm³
* final energy: -3.38 eV/atom
* DOS at the Fermi energy: 8.28 states/eV per cell
* crystal system: cubic

Lattice parameters (Å, degrees): 5.7875 5.7875 5.7875 90.00 90.00 90.00
Element x y z (fractional)
Ca 0.0000 0.0000 0.0000
Br 0.5000 0.5000 0.5000
La 0.0000 0.5000 0.0000
La 0.0000 0.0000 0.5000
La 0.5000 0.0000 0.0000

***

# Li2CaBr

Li2CaBr after structural relaxation (PBEsol, Alexandria).

Computed properties:
* energy above the most stable polymorph in this dataset: 22 meV per atom
* formation energy (no corrections): -0.59 eV per atom
* theoretical density: 2.1 g/cm³
* final energy: -2.57 eV/atom
* DOS at the Fermi energy: 2.17 states/eV per cell
* crystal system: tetragonal

Lattice parameters (Å, degrees): 3.8069 3.8069 7.2474 90.00 90.00 90.00
Element x y z (fractional)
Ca 0.5000 0.5000 0.7468
Br 0.0000 0.0000 0.5445
Li 0.0000 0.0000 0.0301
Li 0.5000 0.5000 0.1786